Record 1
SrLiZnAg3: relaxed, PBE.

Calculated values
final energy: -28.42 eV for the cell shown
symmetry: Cmcm

a = 6.1115 Å, b = 6.5807 Å, c = 7.2499 Å
α = 116.99°, β = 90.00°, γ = 90.00°
Atoms (fractional coordinates):
Ag  0.7500  0.8518  0.7036
Zn  0.2500  0.3590  0.7181
Ag  0.5000  0.7137  0.0000
Sr  0.2500  0.7093  0.4187
Li  0.7500  0.0591  0.1183
Ag  0.0000  0.7137  0.0000
Li  0.2500  0.9409  0.8817
Ag  0.2500  0.1482  0.2964
Sr  0.7500  0.2907  0.5813
Ag  0.0000  0.2863  0.0000
Ag  0.5000  0.2863  0.0000
Zn  0.7500  0.6410  0.2819

---

Record 2
Sr2LiZnAg2: relaxed, PBE.

Calculated values
final energy: -27.30 eV for the cell shown
symmetry: Ibam

a = 6.4040 Å, b = 6.5991 Å, c = 8.8922 Å
α = 111.78°, β = 111.11°, γ = 90.00°
Atoms (fractional coordinates):
Sr  0.0798  0.3348  0.6695
Sr  0.9202  0.6652  0.3305
Sr  0.5897  0.8348  0.6695
Ag  0.3491  0.6023  0.2047
Ag  0.6509  0.3977  0.7953
Zn  0.0000  0.2500  0.0000
Zn  0.0000  0.7500  0.0000
Ag  0.1444  0.8977  0.7953
Sr  0.4103  0.1652  0.3305
Li  0.5000  0.7500  0.0000
Li  0.5000  0.2500  0.0000
Ag  0.8556  0.1023  0.2047

---

Record 3
SrLiZnAg: relaxed, PBE.

Calculated values
final energy: -8.52 eV for the cell shown
symmetry: Cm

a = 4.6311 Å, b = 4.6184 Å, c = 6.0392 Å
α = 112.62°, β = 90.00°, γ = 120.09°
Atoms (fractional coordinates):
Sr  0.6236  0.2472  0.5134
Zn  0.1044  0.2088  0.9556
Ag  0.4227  0.8454  0.9100
Li  0.8156  0.6311  0.0882

---

Record 4
SrLi4Zn2Ag: relaxed, PBE.

Calculated values
final energy: -15.53 eV for the cell shown
symmetry: R-3m

a = 4.5441 Å, b = 4.5441 Å, c = 9.4983 Å
α = 76.16°, β = 76.16°, γ = 60.00°
Atoms (fractional coordinates):
Zn  0.2356  0.2356  0.2932
Li  0.8655  0.8655  0.4034
Li  0.5914  0.5914  0.2257
Li  0.1345  0.1345  0.5966
Sr  0.0000  0.0000  0.0000
Ag  0.5000  0.5000  0.5000
Zn  0.7644  0.7644  0.7068
Li  0.4086  0.4086  0.7743

---

Record 5
SrLi2Zn2Ag2: relaxed, PBE.

Calculated values
final energy: -15.25 eV for the cell shown
symmetry: C2/m

a = 4.5787 Å, b = 4.5947 Å, c = 8.3540 Å
α = 105.00°, β = 90.00°, γ = 119.88°
Atoms (fractional coordinates):
Li  0.8644  0.7287  0.5855
Sr  0.0000  0.0000  0.0000
Ag  0.2482  0.4964  0.7370
Li  0.1356  0.2713  0.4145
Ag  0.7518  0.5036  0.2630
Zn  0.5624  0.1247  0.6794
Zn  0.4376  0.8753  0.3206

---

Record 6
Sr2LiZn3Ag12: relaxed, PBE.

Calculated values
final energy: -42.49 eV for the cell shown
symmetry: R-3m

a = 10.3483 Å, b = 10.3483 Å, c = 10.3483 Å
α = 39.65°, β = 39.65°, γ = 39.65°
Atoms (fractional coordinates):
Ag  0.8131  0.4122  0.4122
Zn  0.0000  0.5000  0.0000
Ag  0.5878  0.1869  0.5878
Ag  0.3468  0.9315  0.9315
Ag  0.9315  0.9315  0.3468
Ag  0.0685  0.0685  0.6532
Ag  0.9315  0.3468  0.9315
Ag  0.0685  0.6532  0.0685
Sr  0.3498  0.3498  0.3498
Li  0.0000  0.0000  0.0000
Zn  0.5000  0.0000  0.0000
Ag  0.5878  0.5878  0.1869
Ag  0.4122  0.8131  0.4122
Zn  0.0000  0.0000  0.5000
Ag  0.4122  0.4122  0.8131
Ag  0.6532  0.0685  0.0685
Sr  0.6502  0.6502  0.6502
Ag  0.1869  0.5878  0.5878